(1)
VASP calculation (GGA-PBE) on a relaxed NaZnHg2Br crystal.

a = 5.1128 Å, b = 5.1128 Å, c = 6.1089 Å
α = 90.00°, β = 90.00°, γ = 90.00°
Sites, in units of the cell vectors:
1 Na 0.0000 0.0000 0.0000
2 Zn 0.5000 0.5000 0.5000
3 Hg 0.0000 0.5000 0.5000
4 Hg 0.5000 0.0000 0.5000
5 Br 0.5000 0.5000 0.0000

Results
Its density is 5.9 g/cm³. As for the energy: -1.2643 eV per atom. For the total magnetic moment, the calculation gives 0.00 Bohr magnetons per cell. As for the raw formation energy: -0.29 eV/atom.

=====

(2)
VASP calculation (GGA-PBE) on a relaxed NbHg2Br8 crystal.

a = 8.5317 Å, b = 8.5317 Å, c = 7.1966 Å
α = 95.83°, β = 95.83°, γ = 58.02°
Sites, in units of the cell vectors:
1 Nb 0.0000 0.0000 0.0000
2 Hg 0.1953 0.1953 0.6925
3 Hg 0.8047 0.8047 0.3075
4 Br 0.1376 0.1376 0.2389
5 Br 0.1434 0.7037 0.1935
6 Br 0.2963 0.8566 0.8065
7 Br 0.3551 0.3551 0.6283
8 Br 0.6449 0.6449 0.3717
9 Br 0.7037 0.1434 0.1935
10 Br 0.8566 0.2963 0.8065
11 Br 0.8624 0.8624 0.7611

Results
Its density is 4.3 g/cm³. As for the energy: -2.7649 eV per atom. For the total magnetic moment, the calculation gives 1.00 Bohr magnetons per cell. As for the raw formation energy: -0.58 eV/atom.

=====

(3)
VASP calculation (GGA-PBE) on a relaxed NbHgBr2 crystal.

a = 7.1596 Å, b = 7.1596 Å, c = 7.1596 Å
α = 99.75°, β = 99.75°, γ = 131.39°
Sites, in units of the cell vectors:
1 Nb 0.0000 0.0000 0.0000
2 Nb 0.7500 0.2500 0.5000
3 Hg 0.2500 0.7500 0.5000
4 Hg 0.5000 0.5000 0.0000
5 Br 0.3750 0.2428 0.3678
6 Br 0.7572 0.1250 0.1322
7 Br 0.8750 0.0072 0.6322
8 Br 0.9928 0.6250 0.8678

Results
Its density is 6.0 g/cm³. As for the energy: -3.5720 eV per atom. For the energy above the most stable polymorph in this dataset, the calculation gives 368 meV/atom. For the total magnetic moment, the calculation gives 4.96 Bohr magnetons per cell. As for the raw formation energy: -0.14 eV/atom.

=====

(4)
VASP calculation (GGA-PBE) on a relaxed Nb2HgBr8 crystal.

a = 10.5568 Å, b = 10.5568 Å, c = 5.2199 Å
α = 90.00°, β = 90.00°, γ = 120.00°
Sites, in units of the cell vectors:
1 Nb 0.3333 0.6667 0.2608
2 Nb 0.6667 0.3333 0.7392
3 Hg 0.0000 0.0000 0.0000
4 Br 0.1982 0.3980 0.2619
5 Br 0.1998 0.8018 0.2619
6 Br 0.3333 0.6667 0.7612
7 Br 0.3980 0.1998 0.7381
8 Br 0.6020 0.8002 0.2619
9 Br 0.6667 0.3333 0.2388
10 Br 0.8002 0.1982 0.7381
11 Br 0.8018 0.6020 0.7381

Results
Its density is 3.4 g/cm³. As for the energy: -3.7439 eV per atom. For the total magnetic moment, the calculation gives 2.00 Bohr magnetons per cell. As for the raw formation energy: -0.67 eV/atom.

=====

(5)
VASP calculation (GGA-PBE) on a relaxed NbHgBr2 crystal.

a = 5.1677 Å, b = 5.1677 Å, c = 5.1677 Å
α = 60.00°, β = 60.00°, γ = 60.00°
Sites, in units of the cell vectors:
1 Nb 0.0000 0.0000 0.0000
2 Hg 0.5000 0.5000 0.5000
3 Br 0.2500 0.2500 0.2500
4 Br 0.7500 0.7500 0.7500

Results
Its density is 7.7 g/cm³. As for the energy: -3.0924 eV per atom. For the energy above the most stable polymorph in this dataset, the calculation gives 847 meV/atom. For the total magnetic moment, the calculation gives 3.00 Bohr magnetons per cell. As for the raw formation energy: 0.34 eV/atom.

=====

(6)
VASP calculation (GGA-PBE) on a relaxed NbHgBr2 crystal.

a = 11.6420 Å, b = 11.6420 Å, c = 11.6420 Å
α = 16.75°, β = 16.75°, γ = 16.75°
Sites, in units of the cell vectors:
1 Nb 0.0000 0.0000 0.0000
2 Hg 0.5000 0.5000 0.5000
3 Br 0.3872 0.3872 0.3872
4 Br 0.6128 0.6128 0.6128

Results
Its density is 6.6 g/cm³. As for the energy: -3.8574 eV per atom. For the energy above the most stable polymorph in this dataset, the calculation gives 82 meV/atom. For the total magnetic moment, the calculation gives 0.00 Bohr magnetons per cell. As for the raw formation energy: -0.43 eV/atom.